Below is a geometry-optimized CsTcNiAg2 structure, with properties calculated at the PBE-GGA level.

Cell lengths 5.8066, 5.8066, 4.8041 Å; angles 90.00, 90.00, 90.00 degrees
Sites, in units of the cell vectors:
Cs 0.0000 0.0000 0.0000
Tc 0.5000 0.5000 0.5000
Ni 0.0000 0.0000 0.5000
Ag 0.0000 0.5000 0.0000
Ag 0.5000 0.0000 0.0000

Calculated values
Total energy   -11.02 eV/cell
Crystal system   tetragonal
DFT formation energy   11.7 eV/f.u.
SG   P4/mmm, No. 123
Magnetization   0.809 μB/atom